# Ho2PuAg3Te6 | Alexandria | PBE | relaxed
# Raw formation energy: -0.767 eV/atom
data_Ho2PuAg3Te6
_chemical_formula_sum 'Ho4 Pu2 Ag6 Te12'
_cell_length_a 17.2518
_cell_length_b 4.4615
_cell_length_c 10.4281
_cell_angle_alpha 90.00
_cell_angle_beta 105.39
_cell_angle_gamma 90.00
_space_group_name_H-M_alt 'C 1 2/m 1'
_space_group_IT_number 12
_space_group_name_Hall '-C 2y'
loop_
_atom_site_label
_atom_site_type_symbol
_atom_site_fract_x
_atom_site_fract_y
_atom_site_fract_z
_atom_site_occupancy
Ho1 Ho 0.1621 0.0000 0.3359 1
Pu1 Pu 0.0000 0.5000 0.0000 1
Ag1 Ag 0.0000 0.5000 0.5000 1
Ag2 Ag 0.1720 0.0000 0.9647 1
Te1 Te 0.0163 0.0000 0.7944 1
Te2 Te 0.1578 0.5000 0.5344 1
Te3 Te 0.1911 0.5000 0.1446 1

# KSnSe2 | Alexandria | PBE | relaxed
# Raw formation energy: -0.713 eV/atom
data_KSnSe2
_chemical_formula_sum 'K2 Sn2 Se4'
_cell_length_a 13.3457
_cell_length_b 4.0626
_cell_length_c 5.0151
_cell_angle_alpha 90.00
_cell_angle_beta 90.10
_cell_angle_gamma 90.00
_space_group_name_H-M_alt 'C 1 m 1'
_space_group_IT_number 8
_space_group_name_Hall 'C -2y'
loop_
_atom_site_label
_atom_site_type_symbol
_atom_site_fract_x
_atom_site_fract_y
_atom_site_fract_z
_atom_site_occupancy
K1 K 0.0000 0.0000 0.0000 1
Sn1 Sn 0.2294 0.0000 0.5011 1
Se1 Se 0.0938 0.5000 0.5002 1
Se2 Se 0.3024 0.0000 0.0013 1

# BeZnRh2 | Alexandria | PBE | relaxed
# Formation energy: -74.8 meV per atom
# E above lowest polymorph: 389 meV/atom
data_BeZnRh2
_chemical_formula_sum 'Be4 Zn4 Rh8'
_cell_length_a 5.9464
_cell_length_b 5.9464
_cell_length_c 5.9464
_cell_angle_alpha 90.00
_cell_angle_beta 90.00
_cell_angle_gamma 90.00
_space_group_name_H-M_alt 'F -4 3 m'
_space_group_IT_number 216
_space_group_name_Hall 'F -4 2 3'
loop_
_atom_site_label
_atom_site_type_symbol
_atom_site_fract_x
_atom_site_fract_y
_atom_site_fract_z
_atom_site_occupancy
Be1 Be 0.0000 0.0000 0.0000 1
Zn1 Zn 0.2500 0.2500 0.2500 1
Rh1 Rh 0.0000 0.0000 0.5000 1
Rh2 Rh 0.2500 0.2500 0.7500 1

# K2RbBi3 | Alexandria | PBE | relaxed
# Formation energy: -317.5 meV per atom
data_K2RbBi3
_chemical_formula_sum 'K8 Rb4 Bi12'
_cell_length_a 7.5442
_cell_length_b 12.3727
_cell_length_c 10.9278
_cell_angle_alpha 90.00
_cell_angle_beta 94.22
_cell_angle_gamma 90.00
_space_group_name_H-M_alt 'C 1 2/c 1'
_space_group_IT_number 15
_space_group_name_Hall '-C 2yc'
loop_
_atom_site_label
_atom_site_type_symbol
_atom_site_fract_x
_atom_site_fract_y
_atom_site_fract_z
_atom_site_occupancy
K1 K 0.1613 0.1208 0.0837 1
Rb1 Rb 0.0000 0.3961 0.2500 1
Bi1 Bi 0.0000 0.1622 0.7500 1
Bi2 Bi 0.1678 0.3324 0.5858 1

# BaNaMg6 | Alexandria | PBE | relaxed
# Formation energy: 103.8 meV per atom
data_BaNaMg6
_chemical_formula_sum 'Ba2 Na2 Mg12'
_cell_length_a 5.3320
_cell_length_b 6.6498
_cell_length_c 13.1585
_cell_angle_alpha 90.00
_cell_angle_beta 90.00
_cell_angle_gamma 90.00
_space_group_name_H-M_alt 'A m m 2'
_space_group_IT_number 38
_space_group_name_Hall 'A 2 -2'
loop_
_atom_site_label
_atom_site_type_symbol
_atom_site_fract_x
_atom_site_fract_y
_atom_site_fract_z
_atom_site_occupancy
Ba1 Ba 0.0000 0.0000 0.0000 1
Na1 Na 0.0000 0.0000 0.4615 1
Mg1 Mg 0.0000 0.2389 0.7378 1
Mg2 Mg 0.5000 0.0000 0.1711 1
Mg3 Mg 0.5000 0.0000 0.6270 1
Mg4 Mg 0.5000 0.2435 0.8668 1

# Cr2IrAu | Alexandria | PBE | relaxed
# Formation energy: 223.8 meV per atom
# E above lowest polymorph: 112 meV/atom
data_Cr2IrAu
_chemical_formula_sum 'Cr2 Ir1 Au1'
_cell_length_a 3.8009
_cell_length_b 3.8009
_cell_length_c 3.8551
_cell_angle_alpha 90.00
_cell_angle_beta 90.00
_cell_angle_gamma 90.00
_space_group_name_H-M_alt 'P 4/m m m'
_space_group_IT_number 123
_space_group_name_Hall '-P 4 2'
loop_
_atom_site_label
_atom_site_type_symbol
_atom_site_fract_x
_atom_site_fract_y
_atom_site_fract_z
_atom_site_occupancy
Cr1 Cr 0.0000 0.5000 0.0000 1
Ir1 Ir 0.0000 0.0000 0.5000 1
Au1 Au 0.5000 0.5000 0.5000 1

| no. | N(E_F) (states/eV per cell) |
| --- | --- |
| 1 | 26.79 |
| 2 | 2.40 |
| 3 | 13.95 |
| 4 | 7.42 |
| 5 | 9.48 |
| 6 | 4.05 |